VASP calculation (GGA-PBE) on BaTiAgHg2 after structural relaxation.

Size of the total moment, μB per atom: 0.419
Formation energy from the elements, eV per atom: 0.070

Unit cell a=5.4208 b=5.4208 c=5.2351 alpha=90.00 beta=90.00 gamma=90.00
Last column: nearest neighbours and their distance in Å.
Space group P4/mmm (No. 123)
Unique sites:
Ba (0.0000, 0.0000, 0.0000) [1 per cell]  8 Hg 3.77, 4 Ag 3.83
Ti (0.5000, 0.5000, 0.5000) [1 per cell]  2 Ag 2.62, 4 Hg 2.71
Ag (0.5000, 0.5000, 0.0000) [1 per cell]  2 Ti 2.62
Hg (0.0000, 0.5000, 0.5000) [2 per cell]  2 Ti 2.71

VASP calculation (GGA-PBE) on Ba2TlAg4Hg3 after structural relaxation.

Size of the total moment, μB per atom: 0.000
Formation energy from the elements, eV per atom: -0.237

Unit cell a=4.7636 b=4.7636 c=12.4176 alpha=90.00 beta=90.00 gamma=90.00
Last column: nearest neighbours and their distance in Å.
Space group P-4m2 (No. 115)
Unique sites:
Ba (0.0000, 0.5000, 0.2387) [2 per cell]  6 Hg 3.62-4.02, 8 Ag 3.68-3.80, 2 Tl 4.02
Tl (0.0000, 0.0000, 0.5000) [1 per cell]  4 Ag 2.96
Ag (0.0000, 0.0000, 0.0000) [1 per cell]  4 Hg 2.88
Ag (0.0000, 0.5000, 0.6418) [2 per cell]  3 Hg 2.82-2.96, 2 Tl 2.96
Ag (0.5000, 0.5000, 0.0000) [1 per cell]  4 Hg 2.88
Hg (0.0000, 0.5000, 0.8691) [2 per cell]  5 Ag 2.82-2.88
Hg (0.5000, 0.5000, 0.5000) [1 per cell]  4 Ag 2.96

VASP calculation (GGA-PBE) on BaTlAgHg after structural relaxation.

Size of the total moment, μB per atom: 0.000
Formation energy from the elements, eV per atom: -0.259

Unit cell a=7.8350 b=7.8350 c=7.8350 alpha=90.00 beta=90.00 gamma=90.00
Last column: nearest neighbours and their distance in Å.
Space group F-43m (No. 216)
Unique sites:
Ba (0.0000, 0.0000, 0.0000) [4 per cell]  4 Hg 3.39, 4 Ag 3.39
Tl (0.0000, 0.0000, 0.5000) [4 per cell]  4 Hg 3.39, 4 Ag 3.39
Ag (0.2500, 0.2500, 0.7500) [4 per cell]  4 Ba 3.39, 4 Tl 3.39
Hg (0.2500, 0.2500, 0.2500) [4 per cell]  4 Ba 3.39, 4 Tl 3.39

VASP calculation (GGA-PBE) on BaTlAgHg2 after structural relaxation.

Size of the total moment, μB per atom: 0.000
Formation energy from the elements, eV per atom: 0.561
Relative energy among the computed polymorphs, eV per atom: 0.683

Unit cell a=6.4360 b=6.4360 c=6.7185 alpha=90.00 beta=90.00 gamma=90.00
Last column: nearest neighbours and their distance in Å.
Space group P4/mmm (No. 123)
Unique sites:
Ba (0.0000, 0.0000, 0.0000) [1 per cell]  4 Hg 3.22, 2 Tl 3.36
Tl (0.0000, 0.0000, 0.5000) [1 per cell]  2 Ba 3.36
Ag (0.5000, 0.5000, 0.5000) [1 per cell]  4 Tl 4.55, 8 Hg 4.65
Hg (0.0000, 0.5000, 0.0000) [2 per cell]  2 Ba 3.22

VASP calculation (GGA-PBE) on Ba3Tl2AgHg6 after structural relaxation.

Size of the total moment, μB per atom: 0.000
Formation energy from the elements, eV per atom: -0.307

Unit cell a=6.7248 b=6.7248 c=9.8348 alpha=90.00 beta=90.00 gamma=120.00
Last column: nearest neighbours and their distance in Å.
Space group P-3m1 (No. 164)
Unique sites:
Ba (0.0000, 0.0000, 0.0000) [1 per cell]  6 Hg 3.46
Ba (0.3333, 0.6667, 0.6187) [2 per cell]  9 Hg 3.50-3.77, 1 Tl 3.71
Tl (0.3333, 0.6667, 0.9960) [2 per cell]  3 Hg 3.36, 1 Ba 3.71
Ag (0.0000, 0.0000, 0.5000) [1 per cell]  6 Hg 2.97
Hg (0.1768, 0.3536, 0.2827) [6 per cell]  1 Ag 2.97, 2 Hg 3.16

VASP calculation (GGA-PBE) on BaTlAgHg2 after structural relaxation.

Size of the total moment, μB per atom: 0.000
Formation energy from the elements, eV per atom: -0.122
Relative energy among the computed polymorphs, eV per atom: 0.000

Unit cell a=5.4619 b=5.4619 c=5.5151 alpha=90.00 beta=90.00 gamma=90.00
Last column: nearest neighbours and their distance in Å.
Space group P4/mmm (No. 123)
Unique sites:
Ba (0.0000, 0.0000, 0.0000) [1 per cell]  4 Tl 3.86, 8 Hg 3.88
Tl (0.5000, 0.5000, 0.0000) [1 per cell]  2 Ag 2.76
Ag (0.5000, 0.5000, 0.5000) [1 per cell]  4 Hg 2.73, 2 Tl 2.76
Hg (0.0000, 0.5000, 0.5000) [2 per cell]  2 Ag 2.73

VASP calculation (GGA-PBE) on BaTlAg2Hg after structural relaxation.

Size of the total moment, μB per atom: 0.000
Formation energy from the elements, eV per atom: -0.219

Unit cell a=4.6705 b=4.7059 c=12.9303 alpha=90.00 beta=90.00 gamma=90.00
Last column: nearest neighbours and their distance in Å.
Space group Imm2 (No. 44)
Unique sites:
Ba (0.0000, 0.0000, 0.0000) [2 per cell]  4 Hg 3.60, 8 Ag 3.61-4.02, 2 Tl 3.90
Tl (0.0000, 0.5000, 0.7414) [2 per cell]  2 Ag 2.89, 2 Hg 3.04
Ag (0.0000, 0.0000, 0.6112) [2 per cell]  1 Hg 2.83, 2 Tl 2.89, 2 Ag 2.92
Ag (0.0000, 0.5000, 0.2466) [2 per cell]  2 Ag 2.92, 2 Hg 3.01
Hg (0.0000, 0.0000, 0.3921) [2 per cell]  3 Ag 2.83-3.01, 2 Tl 3.04

VASP calculation (GGA-PBE) on Ba2TmAg3Hg12 after structural relaxation.

Size of the total moment, μB per atom: 0.000
Formation energy from the elements, eV per atom: -0.107

Unit cell a=6.9336 b=6.9336 c=37.6583 alpha=90.00 beta=90.00 gamma=120.00
Last column: nearest neighbours and their distance in Å.
Space group R-3m (No. 166, hexagonal axes)
Unique sites:
Ba (0.0000, 0.0000, 0.1366) [6 per cell]  12 Hg 3.62-3.83
Tm (0.0000, 0.0000, 0.5000) [3 per cell]  6 Hg 2.97
Ag (0.0000, 0.5000, 0.0000) [9 per cell]  4 Hg 2.85
Hg (0.0070, 0.5035, 0.8907) [18 per cell]  1 Tm 2.97, 2 Hg 3.05
Hg (0.0354, 0.5177, 0.6160) [18 per cell]  2 Ag 2.85, 4 Hg 3.05-3.10

VASP calculation (GGA-PBE) on BaTmAgHg after structural relaxation.

Size of the total moment, μB per atom: 0.000
Formation energy from the elements, eV per atom: -0.208

Unit cell a=7.7999 b=7.7999 c=7.7999 alpha=90.00 beta=90.00 gamma=90.00
Last column: nearest neighbours and their distance in Å.
Space group F-43m (No. 216)
Unique sites:
Ba (0.0000, 0.0000, 0.0000) [4 per cell]  4 Hg 3.38, 4 Ag 3.38
Tm (0.0000, 0.0000, 0.5000) [4 per cell]  4 Hg 3.38, 4 Ag 3.38
Ag (0.2500, 0.2500, 0.7500) [4 per cell]  4 Ba 3.38, 4 Tm 3.38
Hg (0.2500, 0.2500, 0.2500) [4 per cell]  4 Ba 3.38, 4 Tm 3.38

VASP calculation (GGA-PBE) on BaV2AgHg after structural relaxation.

Size of the total moment, μB per atom: 1.492
Formation energy from the elements, eV per atom: 1.014

Unit cell a=5.1660 b=5.1660 c=6.1085 alpha=90.00 beta=90.00 gamma=90.00
Last column: nearest neighbours and their distance in Å.
Space group P4/mmm (No. 123)
Unique sites:
Ba (0.0000, 0.0000, 0.0000) [1 per cell]  2 Ag 3.05
V (0.0000, 0.5000, 0.5000) [2 per cell]  2 Ag 2.58
Ag (0.0000, 0.0000, 0.5000) [1 per cell]  4 V 2.58
Hg (0.5000, 0.5000, 0.0000) [1 per cell]  4 Ba 3.65, 8 V 4.00

VASP calculation (GGA-PBE) on BaYAgHg after structural relaxation.

Size of the total moment, μB per atom: 0.000
Formation energy from the elements, eV per atom: -0.235

Unit cell a=7.8460 b=7.8460 c=7.8460 alpha=90.00 beta=90.00 gamma=90.00
Last column: nearest neighbours and their distance in Å.
Space group F-43m (No. 216)
Unique sites:
Ba (0.0000, 0.0000, 0.0000) [4 per cell]  4 Hg 3.40, 4 Ag 3.40
Y (0.0000, 0.0000, 0.5000) [4 per cell]  4 Hg 3.40, 4 Ag 3.40
Ag (0.2500, 0.2500, 0.2500) [4 per cell]  4 Ba 3.40, 4 Y 3.40
Hg (0.2500, 0.2500, 0.7500) [4 per cell]  4 Ba 3.40, 4 Y 3.40

VASP calculation (GGA-PBE) on BaZnAgHg2 after structural relaxation.

Size of the total moment, μB per atom: 0.000
Formation energy from the elements, eV per atom: -0.125
Relative energy among the computed polymorphs, eV per atom: 0.052

Unit cell a=5.4451 b=5.4451 c=5.0445 alpha=90.00 beta=90.00 gamma=90.00
Last column: nearest neighbours and their distance in Å.
Space group P4/mmm (No. 123)
Unique sites:
Ba (0.0000, 0.0000, 0.0000) [1 per cell]  8 Hg 3.71, 4 Zn 3.85
Zn (0.5000, 0.5000, 0.0000) [1 per cell]  2 Ag 2.52
Ag (0.5000, 0.5000, 0.5000) [1 per cell]  2 Zn 2.52, 4 Hg 2.72
Hg (0.0000, 0.5000, 0.5000) [2 per cell]  2 Ag 2.72

VASP calculation (GGA-PBE) on Ba2Zn3Ag4Hg after structural relaxation.

Size of the total moment, μB per atom: 0.000
Formation energy from the elements, eV per atom: -0.211

Unit cell a=4.8073 b=4.8073 c=10.8404 alpha=90.00 beta=90.00 gamma=90.00
Last column: nearest neighbours and their distance in Å.
Space group P-4m2 (No. 115)
Unique sites:
Ba (0.0000, 0.5000, 0.2452) [2 per cell]  8 Ag 3.58-3.61, 2 Hg 3.66, 7 Zn 3.66-3.89
Zn (0.0000, 0.5000, 0.8867) [2 per cell]  5 Ag 2.65-2.70
Zn (0.5000, 0.5000, 0.5000) [1 per cell]  4 Ag 2.86
Ag (0.0000, 0.0000, 0.0000) [1 per cell]  4 Zn 2.70
Ag (0.0000, 0.5000, 0.6424) [2 per cell]  3 Zn 2.65-2.86, 2 Hg 2.86
Ag (0.5000, 0.5000, 0.0000) [1 per cell]  4 Zn 2.70
Hg (0.0000, 0.0000, 0.5000) [1 per cell]  4 Ag 2.86

VASP calculation (GGA-PBE) on BaZnAgHg2 after structural relaxation.

Size of the total moment, μB per atom: 0.000
Formation energy from the elements, eV per atom: -0.177
Relative energy among the computed polymorphs, eV per atom: 0.000

Unit cell a=5.2757 b=5.2757 c=5.1576 alpha=90.00 beta=90.00 gamma=90.00
Last column: nearest neighbours and their distance in Å.
Space group P4/mmm (No. 123)
Unique sites:
Ba (0.0000, 0.0000, 0.0000) [1 per cell]  8 Hg 3.69, 4 Ag 3.73
Zn (0.5000, 0.5000, 0.5000) [1 per cell]  2 Ag 2.58, 4 Hg 2.64
Ag (0.5000, 0.5000, 0.0000) [1 per cell]  2 Zn 2.58
Hg (0.0000, 0.5000, 0.5000) [2 per cell]  2 Zn 2.64

VASP calculation (GGA-PBE) on BaHoAg2 after structural relaxation.

Size of the total moment, μB per atom: 0.000
Formation energy from the elements, eV per atom: -0.247
Relative energy among the computed polymorphs, eV per atom: 0.000

Unit cell a=3.8103 b=3.8103 c=7.8640 alpha=90.00 beta=90.00 gamma=90.00
Last column: nearest neighbours and their distance in Å.
Space group P4/mmm (No. 123)
Unique sites:
Ba (0.0000, 0.0000, 0.0000) [1 per cell]  8 Ag 3.61, 4 Ba 3.81, 2 Ho 3.93
Ho (0.0000, 0.0000, 0.5000) [1 per cell]  8 Ag 3.10
Ag (0.5000, 0.5000, 0.3053) [2 per cell]  1 Ag 3.06, 4 Ho 3.10

VASP calculation (GGA-PBE) on BaHoAg2 after structural relaxation.

Size of the total moment, μB per atom: 0.000
Formation energy from the elements, eV per atom: -0.149
Relative energy among the computed polymorphs, eV per atom: 0.098

Unit cell a=5.5198 b=5.5198 c=3.7268 alpha=90.00 beta=90.00 gamma=90.00
Last column: nearest neighbours and their distance in Å.
Space group P4/mmm (No. 123)
Unique sites:
Ba (0.0000, 0.0000, 0.0000) [1 per cell]  8 Ag 3.33, 2 Ba 3.73
Ho (0.5000, 0.5000, 0.0000) [1 per cell]  8 Ag 3.33, 2 Ho 3.73
Ag (0.0000, 0.5000, 0.5000) [2 per cell]  4 Ba 3.33, 4 Ho 3.33, 2 Ag 3.73

VASP calculation (GGA-PBE) on BaHoAg2 after structural relaxation.

Size of the total moment, μB per atom: 0.000
Formation energy from the elements, eV per atom: -0.108
Relative energy among the computed polymorphs, eV per atom: 0.139

Unit cell a=7.7287 b=7.7287 c=7.7287 alpha=90.00 beta=90.00 gamma=90.00
Last column: nearest neighbours and their distance in Å.
Space group Fm-3m (No. 225)
Unique sites:
Ba (0.0000, 0.0000, 0.0000) [4 per cell]  8 Ag 3.35
Ho (0.0000, 0.0000, 0.5000) [4 per cell]  8 Ag 3.35
Ag (0.2500, 0.2500, 0.2500) [8 per cell]  4 Ho 3.35, 4 Ba 3.35

VASP calculation (GGA-PBE) on BaHoAg2 after structural relaxation.

Size of the total moment, μB per atom: 0.000
Formation energy from the elements, eV per atom: -0.163
Relative energy among the computed polymorphs, eV per atom: 0.083

Unit cell a=5.1011 b=5.1011 c=16.9771 alpha=90.00 beta=90.00 gamma=120.00
Last column: nearest neighbours and their distance in Å.
Space group R-3m (No. 166, hexagonal axes)
Unique sites:
Ba (0.0000, 0.0000, 0.0000) [3 per cell]  8 Ag 3.43-3.70
Ho (0.0000, 0.0000, 0.5000) [3 per cell]  6 Ag 3.00
Ag (0.0000, 0.0000, 0.2018) [6 per cell]  3 Ho 3.00, 3 Ag 3.18

VASP calculation (GGA-PBE) on Ba2HoAg after structural relaxation.

Size of the total moment, μB per atom: 0.000
Formation energy from the elements, eV per atom: 0.331

Unit cell a=3.8997 b=3.8997 c=36.8613 alpha=90.00 beta=90.00 gamma=120.00
Last column: nearest neighbours and their distance in Å.
Space group R-3m (No. 166, hexagonal axes)
Unique sites:
Ba (0.0000, 0.0000, 0.0986) [6 per cell]  3 Ag 3.37, 1 Ho 3.63
Ho (0.0000, 0.0000, 0.0000) [3 per cell]  2 Ba 3.63, 6 Ho 3.90
Ag (0.0000, 0.0000, 0.5000) [3 per cell]  6 Ba 3.37

VASP calculation (GGA-PBE) on Ba3HoAg2O6 after structural relaxation.

Size of the total moment, μB per atom: 0.000
E_form (uncorrected), meV/atom: -1845

Unit cell a=6.2973 b=6.2973 c=6.8716 alpha=90.00 beta=90.00 gamma=120.00
Last column: nearest neighbours and their distance in Å.
Space group P-3m1 (No. 164)
Unique sites:
Ba (0.0000, 0.0000, 0.0000) [1 per cell]  6 O 2.76
Ba (0.3333, 0.6667, 0.6163) [2 per cell]  3 O 2.82
Ho (0.0000, 0.0000, 0.5000) [1 per cell]  6 O 2.22
Ag (0.3333, 0.6667, 0.1382) [2 per cell]  3 O 2.19
O (0.1633, 0.3266, 0.3077) [6 per cell]  1 Ag 2.19, 1 Ho 2.22